No. 1
VASP calculation (PBE) on PrBiI after structural relaxation.

Computed properties:
Its density of states at the Fermi level is 0.301 states/eV per atom. The formation energy (no corrections) comes out at -0.78 eV/atom. For the uncorrected energy, the calculation gives -4.180 eV per atom. The energy relative to the lowest polymorph listed for this composition comes out at 16 meV/atom.

a = 3.7774 Å, b = 3.7774 Å, c = 15.8268 Å
α = 90.00°, β = 90.00°, γ = 90.00°
Space group I4mm (No. 107)
Asymmetric unit:
Pr1 0.0000 0.0000 0.0000
Bi1 0.0000 0.0000 0.3605
I1 0.0000 0.0000 0.6293

---

No. 2
VASP calculation (PBE) on Pr4Bi3I after structural relaxation.

Computed properties:
Its density of states at the Fermi level is 0.419 states/eV per atom. The formation energy (no corrections) comes out at -0.95 eV/atom. For the uncorrected energy, the calculation gives -4.993 eV per atom.

a = 6.5357 Å, b = 6.5357 Å, c = 13.1224 Å
α = 90.00°, β = 90.00°, γ = 90.00°
Space group I4/mmm (No. 139)
Asymmetric unit:
Pr1 0.0000 0.0000 0.2410
Pr2 0.0000 0.5000 0.0000
Bi1 0.0000 0.0000 0.0000
Bi2 0.0000 0.5000 0.2500
I1 0.0000 0.0000 0.5000

---

No. 3
VASP calculation (PBE) on PrBiI after structural relaxation.

Computed properties:
Its density of states at the Fermi level is 0.206 states/eV per atom. The formation energy (no corrections) comes out at -0.79 eV/atom. For the uncorrected energy, the calculation gives -4.196 eV per atom. The energy relative to the lowest polymorph listed for this composition comes out at 0 meV/atom.

a = 9.0860 Å, b = 5.7560 Å, c = 10.0907 Å
α = 90.00°, β = 116.46°, γ = 90.00°
Space group C2/m (No. 12)
Asymmetric unit:
Pr1 0.1906 0.0000 0.2341
Bi1 0.2130 0.0000 0.9279
I1 0.1187 0.5000 0.3757

---

No. 4
VASP calculation (PBE) on PrBiI after structural relaxation.

Computed properties:
Its density of states at the Fermi level is 0.958 states/eV per atom. The formation energy (no corrections) comes out at -0.65 eV/atom. For the uncorrected energy, the calculation gives -4.055 eV per atom. The energy relative to the lowest polymorph listed for this composition comes out at 141 meV/atom.

a = 5.5094 Å, b = 5.5094 Å, c = 3.8230 Å
α = 90.00°, β = 90.00°, γ = 120.00°
Space group P-6m2 (No. 187)
Asymmetric unit:
Pr1 0.0000 0.0000 0.0000
Bi1 0.3333 0.6667 0.5000
I1 0.6667 0.3333 0.0000

---

No. 5
VASP calculation (PBE) on Pr2BiI3 after structural relaxation.

Computed properties:
The formation energy (no corrections) comes out at -1.15 eV/atom. For the uncorrected energy, the calculation gives -4.164 eV per atom.

a = 19.2366 Å, b = 4.7655 Å, c = 14.3354 Å
α = 90.00°, β = 125.06°, γ = 90.00°
Space group C2/m (No. 12)
Asymmetric unit:
Pr1 0.1062 0.0000 0.4467
Pr2 0.1357 0.5000 0.8313
Bi1 0.0959 0.0000 0.6640
I1 0.0579 0.5000 0.2557
I2 0.1592 0.0000 0.0156
I3 0.2381 0.5000 0.6039

---

No. 6
VASP calculation (PBE) on PrPuBiI after structural relaxation.

Computed properties:
Its density of states at the Fermi level is 2.159 states/eV per atom. The formation energy (no corrections) comes out at -0.66 eV/atom. For the uncorrected energy, the calculation gives -6.799 eV per atom.

a = 7.9012 Å, b = 7.9012 Å, c = 7.9012 Å
α = 90.00°, β = 90.00°, γ = 90.00°
Space group F-43m (No. 216)
Asymmetric unit:
Pr1 0.0000 0.0000 0.0000
Pu1 0.0000 0.0000 0.5000
Bi1 0.2500 0.2500 0.7500
I1 0.2500 0.2500 0.2500

---

- formation energy (no corrections) of number 4 (PrBiI)?
  -0.65 eV/atom